[1]
{
  "formula": "CdNiN3",
  "functional": "PBE",
  "state": "optimized geometry",
  "lattice": [[3.7886, 0.0000, 0.0000], [0.0000, 3.7886, 0.0000], [0.0000, 0.0000, 3.7886]],
  "species": ["Cd", "Ni", "N", "N", "N"],
  "frac_coords": [[0.0000, 0.0000, 0.0000], [0.5000, 0.5000, 0.5000], [0.0000, 0.5000, 0.5000], [0.5000, 0.0000, 0.5000], [0.5000, 0.5000, 0.0000]],
  "raw_formation_energy_kcal_per_mol_atoms": 35.649
}



[2]
{
  "formula": "CsCdTc3",
  "functional": "PBE",
  "state": "optimized geometry",
  "lattice": [[5.2610, 0.0000, 0.0000], [0.0000, 5.2610, 0.0000], [0.0000, 0.0000, 5.2610]],
  "species": ["Cs", "Cd", "Tc", "Tc", "Tc"],
  "frac_coords": [[0.0000, 0.0000, 0.0000], [0.5000, 0.5000, 0.5000], [0.0000, 0.5000, 0.5000], [0.5000, 0.0000, 0.5000], [0.5000, 0.5000, 0.0000]],
  "relative_energy_mev_per_atom": 0.0,
  "formation_energy_kj_per_mol_atoms": 225
}



[3]
{
  "formula": "BeHCl",
  "functional": "PBE",
  "state": "optimized geometry",
  "lattice": [[-2.0748, 2.8732, 3.8576], [2.0748, -2.8732, 3.8576], [2.0748, 2.8732, -3.8576]],
  "species": ["Be", "Be", "H", "H", "Cl", "Cl"],
  "frac_coords": [[0.1452, 0.3952, 0.7500], [0.3548, 0.1048, 0.2500], [0.1458, 0.2500, 0.3958], [0.3542, 0.7500, 0.1042], [0.2500, 0.0345, 0.7845], [0.7500, 0.4655, 0.7155]],
  "relative_energy_mev_per_atom": 37.0
}



[4]
{
  "formula": "AuSeNF2",
  "functional": "PBE",
  "state": "optimized geometry",
  "lattice": [[4.5248, 0.0000, 0.0000], [0.0000, 4.5248, 0.0000], [0.0000, 0.0000, 3.6570]],
  "species": ["Au", "Se", "N", "F", "F"],
  "frac_coords": [[0.0000, 0.0000, 0.0000], [0.5000, 0.5000, 0.5000], [0.5000, 0.5000, 0.0000], [0.0000, 0.5000, 0.5000], [0.5000, 0.0000, 0.5000]],
  "raw_formation_energy_kcal_per_mol_atoms": 6.198,
  "relative_energy_mev_per_atom": 0.0
}



[5]
{
  "formula": "YFe2W2",
  "functional": "PBE",
  "state": "optimized geometry",
  "lattice": [[-2.0858, 2.0858, 4.9275], [2.0858, -2.0858, 4.9275], [2.0858, 2.0858, -4.9275]],
  "species": ["Y", "Fe", "Fe", "W", "W"],
  "frac_coords": [[0.0000, 0.0000, 0.0000], [0.3756, 0.3756, 0.0000], [0.6244, 0.6244, 0.0000], [0.2500, 0.7500, 0.5000], [0.7500, 0.2500, 0.5000]],
  "relative_energy_mev_per_atom": 0.0,
  "formation_energy_kj_per_mol_atoms": 6
}



[6]
{
  "formula": "HfCr3H",
  "functional": "PBE",
  "state": "optimized geometry",
  "lattice": [[3.9116, 0.0000, 0.0000], [0.0000, 3.9116, 0.0000], [0.0000, 0.0000, 3.9116]],
  "species": ["Hf", "Cr", "Cr", "Cr", "H"],
  "frac_coords": [[0.0000, 0.0000, 0.0000], [0.0000, 0.5000, 0.5000], [0.5000, 0.0000, 0.5000], [0.5000, 0.5000, 0.0000], [0.5000, 0.5000, 0.5000]],
  "relative_energy_mev_per_atom": 0.0
}



[7]
{
  "formula": "AcTlCd3",
  "functional": "PBE",
  "state": "optimized geometry",
  "lattice": [[12.8426, 0.0000, 0.0000], [0.0000, 6.6313, 0.0000], [0.0000, 0.0000, 6.6280]],
  "species": ["Ac", "Ac", "Ac", "Ac", "Tl", "Tl", "Tl", "Tl", "Cd", "Cd", "Cd", "Cd", "Cd", "Cd", "Cd", "Cd", "Cd", "Cd", "Cd", "Cd"],
  "frac_coords": [[0.2500, 0.0000, 0.0025], [0.2500, 0.5000, 0.4975], [0.7500, 0.0000, 0.9975], [0.7500, 0.5000, 0.5025], [0.0020, 0.2500, 0.2500], [0.4980, 0.7500, 0.2500], [0.5020, 0.2500, 0.7500], [0.9980, 0.7500, 0.7500], [0.0016, 0.7500, 0.2500], [0.1427, 0.5005, 0.9961], [0.1427, 0.9995, 0.5039], [0.3573, 0.0005, 0.5039], [0.3573, 0.4995, 0.9961], [0.4984, 0.2500, 0.2500], [0.5016, 0.7500, 0.7500], [0.6427, 0.5005, 0.0039], [0.6427, 0.9995, 0.4961], [0.8573, 0.0005, 0.4961], [0.8573, 0.4995, 0.0039], [0.9984, 0.2500, 0.7500]],
  "relative_energy_mev_per_atom": 0.0,
  "formation_energy_kj_per_mol_atoms": -20
}



[8]
{
  "formula": "BaO6",
  "functional": "PBE",
  "state": "optimized geometry",
  "lattice": [[3.7447, -5.2482, 0.0000], [3.7447, 5.2482, 0.0000], [-0.4267, 0.0000, 6.6707]],
  "species": ["Ba", "Ba", "O", "O", "O", "O", "O", "O", "O", "O", "O", "O", "O", "O"],
  "frac_coords": [[0.1794, 0.8206, 0.7500], [0.8206, 0.1794, 0.2500], [0.0948, 0.2068, 0.6179], [0.1002, 0.5183, 0.0420], [0.1676, 0.4057, 0.5596], [0.2068, 0.0948, 0.1179], [0.4057, 0.1676, 0.0596], [0.4817, 0.8998, 0.4580], [0.5183, 0.1002, 0.5420], [0.5943, 0.8324, 0.9404], [0.7932, 0.9052, 0.8821], [0.8324, 0.5943, 0.4404], [0.8998, 0.4817, 0.9580], [0.9052, 0.7932, 0.3821]],
  "raw_formation_energy_kcal_per_mol_atoms": -16.970,
  "relative_energy_mev_per_atom": 11.2
}



Number 1: energy -4.7886 eV per atom, V 54 Å³/cell. Number 2: energy -4.2384 eV per atom, V 146 Å³/cell. Number 3: energy -3.6877 eV per atom, V 92 Å³/cell. Number 4: energy -3.4972 eV per atom, V 75 Å³/cell. Number 5: energy -9.7963 eV per atom, V 86 Å³/cell. Number 6: energy -8.1059 eV per atom, V 60 Å³/cell. Number 7: energy -2.0489 eV per atom, V 564 Å³/cell. Number 8: energy -5.2604 eV per atom, V 262 Å³/cell.